First-principles (PBE-GGA) data for a geometry-optimized Ca2Ga2Ge structure, as listed in Alexandria via LeMat-Bulk.

The space group is C2/m (No. 12) and the conventional cell measures 10.828, 4.522 and 10.719 Å, with angles of 90.00, 116.49 and 90.00 degrees. The asymmetric unit holds Ca at (0.003, 0.000, 0.177), Ca at (0.184, 0.000, 0.607), Ga at (0.027, 0.500, 0.392), Ga at (0.145, 0.500, 0.050) and Ge at (0.211, 0.500, 0.835).

Its formation energy is -0.48 eV/atom. The calculation puts the mass density at 4133 kg/m3. The value obtained for the relative energy among the computed polymorphs is 0 meV per atom.

First-principles (PBE-GGA) data for a geometry-optimized Ca5GaGe2 structure, as listed in Alexandria via LeMat-Bulk.

The space group is I4/mcm (No. 140) and the conventional cell measures 7.788, 7.788 and 14.976 Å, with angles of 90.00, 90.00 and 90.00 degrees. The asymmetric unit holds Ca at (0.000, 0.000, 0.000), Ca at (0.176, 0.324, 0.141), Ga at (0.000, 0.000, 0.250) and Ge at (0.117, 0.383, 0.500).

Its formation energy is -0.54 eV/atom. The calculation puts the mass density at 3037 kg/m3.

First-principles (PBE-GGA) data for a geometry-optimized CaGa4Ge structure, as listed in Alexandria via LeMat-Bulk.

The space group is F-43m (No. 216) and the conventional cell measures 7.892, 7.892 and 7.892 Å, with angles of 90.00, 90.00 and 90.00 degrees. The asymmetric unit holds Ca at (0.000, 0.000, 0.000), Ga at (0.125, 0.125, 0.375) and Ge at (0.250, 0.250, 0.750).

Its formation energy is -0.14 eV/atom. The calculation puts the mass density at 5292 kg/m3.

First-principles (PBE-GGA) data for a geometry-optimized CaGaGe4 structure, as listed in Alexandria via LeMat-Bulk.

The space group is F-43m (No. 216) and the conventional cell measures 7.937, 7.937 and 7.937 Å, with angles of 90.00, 90.00 and 90.00 degrees. The asymmetric unit holds Ca at (0.000, 0.000, 0.000), Ga at (0.250, 0.250, 0.750) and Ge at (0.124, 0.124, 0.376).

Its formation energy is -0.11 eV/atom. The calculation puts the mass density at 5318 kg/m3.

First-principles (PBE-GGA) data for a geometry-optimized Ca3GaGe3 structure, as listed in Alexandria via LeMat-Bulk.

The space group is C2/m (No. 12) and the conventional cell measures 7.670, 11.314 and 7.979 Å, with angles of 90.00, 96.83 and 90.00 degrees. The asymmetric unit holds Ca at (0.000, 0.198, 0.000), Ca at (0.000, 0.240, 0.500), Ca at (0.142, 0.500, 0.847), Ga at (0.200, 0.500, 0.475), Ge at (0.023, 0.000, 0.742) and Ge at (0.216, 0.350, 0.225).

Its formation energy is -0.49 eV/atom. The calculation puts the mass density at 3940 kg/m3. The value obtained for the relative energy among the computed polymorphs is 84 meV per atom.

First-principles (PBE-GGA) data for a geometry-optimized Ca6Ga2Ge structure, as listed in Alexandria via LeMat-Bulk.

The space group is Immm (No. 71) and the conventional cell measures 9.949, 10.044 and 10.815 Å, with angles of 90.00, 90.00 and 90.00 degrees. The asymmetric unit holds Ca at (0.000, 0.193, 0.246), Ca at (0.197, 0.500, 0.335), Ca at (0.233, 0.325, 0.000), Ga at (0.000, 0.331, 0.500), Ga at (0.000, 0.500, 0.117), Ge at (0.000, 0.000, 0.000) and Ge at (0.000, 0.000, 0.500).

Its formation energy is -0.37 eV/atom. The calculation puts the mass density at 2781 kg/m3.

First-principles (PBE-GGA) data for a geometry-optimized Ca3Ga4Ge4 structure, as listed in Alexandria via LeMat-Bulk.

The space group is P-1 (No. 2) and the conventional cell measures 4.210, 4.729 and 12.742 Å, with angles of 81.57, 80.49 and 89.79 degrees. The asymmetric unit holds Ca at (0.000, 0.000, 0.000), Ca at (0.355, 0.884, 0.285), Ga at (0.095, 0.489, 0.813), Ga at (0.244, 0.254, 0.508), Ge at (0.196, 0.704, 0.615) and Ge at (0.452, 0.367, 0.095).

Its formation energy is -0.39 eV/atom. The calculation puts the mass density at 4628 kg/m3. The value obtained for the relative energy among the computed polymorphs is 0 meV per atom.

First-principles (PBE-GGA) data for a geometry-optimized Ca6GaGe2 structure, as listed in Alexandria via LeMat-Bulk.

The space group is Immm (No. 71) and the conventional cell measures 9.823, 10.106 and 10.802 Å, with angles of 90.00, 90.00 and 90.00 degrees. The asymmetric unit holds Ca at (0.000, 0.190, 0.248), Ca at (0.188, 0.500, 0.163), Ca at (0.226, 0.324, 0.500), Ga at (0.000, 0.000, 0.000), Ga at (0.000, 0.000, 0.500), Ge at (0.000, 0.327, 0.000) and Ge at (0.000, 0.500, 0.381).

Its formation energy is -0.45 eV/atom. The calculation puts the mass density at 2821 kg/m3.

Copy entry 2 word for word.
First-principles (PBE-GGA) data for a geometry-optimized Ca5GaGe2 structure, as listed in Alexandria via LeMat-Bulk.

The space group is I4/mcm (No. 140) and the conventional cell measures 7.788, 7.788 and 14.976 Å, with angles of 90.00, 90.00 and 90.00 degrees. The asymmetric unit holds Ca at (0.000, 0.000, 0.000), Ca at (0.176, 0.324, 0.141), Ga at (0.000, 0.000, 0.250) and Ge at (0.117, 0.383, 0.500).

Its formation energy is -0.54 eV/atom. The calculation puts the mass density at 3037 kg/m3.

Q: Which of these has the highest mass density?
A: CaGaGe4

Q: mass density of number 8 (Ca6GaGe2)?
A: 2821 kg/m3

Q: Among the records above, which one has the highest mass density?
A: CaGaGe4